Entry 1:
# Y2CuSe4 | the Alexandria database | GGA-PBE | relaxed
# * energy relative to the elements, uncorrected: -1.323 eV per atom
# * total energy: -5.75 eV/atom
# * density: 5.83 g/cm3
data_Y2CuSe4
_chemical_formula_sum 'Y4 Cu2 Se8'
_cell_length_a 7.0513
_cell_length_b 5.8017
_cell_length_c 8.0948
_cell_angle_alpha 90.00
_cell_angle_beta 106.66
_cell_angle_gamma 90.00
_symmetry_space_group_name_H-M 'P 1 21/m 1'
_symmetry_Int_Tables_number 11
loop_
_symmetry_equiv_pos_as_xyz
'x,y,z'
'-x,-y,-z'
'-x,y+1/2,-z'
'x,-y+1/2,z'
loop_
_atom_site_label
_atom_site_type_symbol
_atom_site_fract_x
_atom_site_fract_y
_atom_site_fract_z
Y1 Y 0.2267 0.2500 0.4303
Y2 Y 0.2406 0.2500 0.9348
Cu1 Cu 0.2358 0.7500 0.6839
Se1 Se 0.0694 0.7500 0.3840
Se2 Se 0.0717 0.7500 0.9017
Se3 Se 0.4843 0.5089 0.2468


Entry 2:
# Y2Cu2Se | the Alexandria database | GGA-PBE | relaxed
# * energy above the lowest structure with this stoichiometry: 327 meV/atom
# * energy relative to the elements, uncorrected: -0.524 eV per atom
# * total energy: -5.45 eV/atom
# * density: 5.51 g/cm3
data_Y2Cu2Se
_chemical_formula_sum 'Y4 Cu4 Se2'
_cell_length_a 7.6503
_cell_length_b 7.6503
_cell_length_c 3.9522
_cell_angle_alpha 90.00
_cell_angle_beta 90.00
_cell_angle_gamma 90.00
_symmetry_space_group_name_H-M 'P 4/m b m'
_symmetry_Int_Tables_number 127
_symmetry_space_group_name_Hall '-P 4 2ab'
loop_
_atom_site_label
_atom_site_type_symbol
_atom_site_fract_x
_atom_site_fract_y
_atom_site_fract_z
Y1 Y 0.1781 0.3219 0.0000
Cu1 Cu 0.1115 0.6115 0.5000
Se1 Se 0.0000 0.0000 0.0000


Entry 3:
# Y2Cu4Se | the Alexandria database | GGA-PBE | relaxed
# * energy relative to the elements, uncorrected: 0.175 eV per atom
# * total energy: -4.51 eV/atom
# * density: 5.56 g/cm3
data_Y2Cu4Se
_chemical_formula_sum 'Y4 Cu8 Se2'
_cell_length_a 4.4156
_cell_length_b 4.4156
_cell_length_c 15.6501
_cell_angle_alpha 90.00
_cell_angle_beta 90.00
_cell_angle_gamma 90.00
_symmetry_space_group_name_H-M 'I 4/m m m'
_symmetry_Int_Tables_number 139
_symmetry_space_group_name_Hall '-I 4 2'
loop_
_atom_site_label
_atom_site_type_symbol
_atom_site_fract_x
_atom_site_fract_y
_atom_site_fract_z
Y1 Y 0.0000 0.0000 0.1671
Cu1 Cu 0.0000 0.0000 0.3436
Cu2 Cu 0.0000 0.5000 0.0000
Se1 Se 0.0000 0.0000 0.5000